[1]
Here is an optimized crystal structure of Sr2HgTe2 from the Alexandria database. Energies are from GGA-PBE.

Values from the calculation:
**Magnetization**: 0.00 Bohr magnetons per cell
**Space group**: P4/mbm (127)
**Raw total energy**: -31.7 eV/cell
**Energy above the lowest structure with this stoichiometry**: 6.8 kJ per mole of atoms

abc: 9.267 9.267 4.193
angles: 90.00 90.00 90.00
Positions (direct):
Sr 0.152 0.348 0.000
Sr 0.348 0.848 0.000
Sr 0.652 0.152 0.000
Sr 0.848 0.652 0.000
Hg 0.000 0.000 0.500
Hg 0.500 0.500 0.500
Te 0.148 0.648 0.500
Te 0.352 0.148 0.500
Te 0.648 0.852 0.500
Te 0.852 0.352 0.500



[2]
Here is an optimized crystal structure of Sm7Dy2Sc2 from the Alexandria database. Energies are from GGA-PBE.

Values from the calculation:
**E_form**: 176 meV per atom
**Magnetization**: 0.00 Bohr magnetons per cell
**Space group**: Imm2 (44)
**Raw total energy**: -53.0 eV/cell
**Energy above the lowest structure with this stoichiometry**: 0.0 kJ per mole of atoms

abc: 11.791 11.791 11.791
angles: 162.55 50.59 132.91
Positions (direct):
Sm 0.000 0.000 0.000
Sm 0.006 0.356 0.650
Sm 0.087 0.729 0.359
Sm 0.370 0.729 0.641
Sm 0.423 0.545 0.878
Sm 0.667 0.545 0.122
Sm 0.706 0.356 0.350
Dy 0.346 0.346 0.000
Dy 0.675 0.175 0.500
Sc 0.305 0.054 0.251
Sc 0.802 0.054 0.749



[3]
Here is an optimized crystal structure of Ac3SnPd3 from the Alexandria database. Energies are from GGA-PBE.

Values from the calculation:
**E_form**: -647 meV per atom
**Magnetization**: 0.00 Bohr magnetons per cell
**Space group**: P6_3/m (176)
**Raw total energy**: -72.9 eV/cell
**Energy above the lowest structure with this stoichiometry**: 11.9 kJ per mole of atoms

abc: 9.275 9.275 6.101
angles: 90.00 90.00 120.00
Positions (direct):
Ac 0.056 0.365 0.250
Ac 0.309 0.944 0.250
Ac 0.365 0.309 0.750
Ac 0.635 0.691 0.250
Ac 0.691 0.056 0.750
Ac 0.944 0.635 0.750
Sn 0.333 0.667 0.750
Sn 0.667 0.333 0.250
Pd 0.054 0.362 0.750
Pd 0.308 0.946 0.750
Pd 0.362 0.308 0.250
Pd 0.638 0.692 0.750
Pd 0.692 0.054 0.250
Pd 0.946 0.638 0.250



[4]
Here is an optimized crystal structure of CaPHIr2 from the Alexandria database. Energies are from GGA-PBE.

Values from the calculation:
**Magnetization**: 1.45 Bohr magnetons per cell
**Space group**: P4/mmm (123)
**Raw total energy**: -15.4 eV/cell

abc: 4.990 4.990 5.163
angles: 90.00 90.00 90.00
Positions (direct):
Ca 0.000 0.000 0.000
P 0.000 0.000 0.500
H 0.500 0.500 0.500
Ir 0.000 0.500 0.000
Ir 0.500 0.000 0.000



raw total energy of number 1 (Sr2HgTe2)? -31.7 eV/cell